Entry 1:
Entry from Alexandria via LeMat-Bulk: a relaxed structure of AcMg5Tl6 (PBE).

a = 5.044 Å, b = 8.361 Å, c = 8.024 Å
α = 90.00°, β = 90.00°, γ = 72.45°
Fractional coordinates of all 12 atoms:
Mg 0.326 0.348 0.000
Tl 0.172 0.656 0.261
Tl 0.172 0.656 0.739
Ac 0.000 0.000 0.000
Tl 0.828 0.344 0.739
Mg 0.674 0.652 0.000
Tl 0.500 0.000 0.285
Mg 0.000 0.000 0.500
Tl 0.500 0.000 0.715
Tl 0.828 0.344 0.261
Mg 0.327 0.346 0.500
Mg 0.673 0.654 0.500

Calculated values
As for the energy of formation: -10 kJ/mol of atoms. The electronic total energy is -0.1689 Ry per atom. The calculation puts the density of states at the Fermi level at 0.458 states/eV/atom. As for the symmetry: No. 65.



Entry 2:
Entry from Alexandria via LeMat-Bulk: a relaxed structure of Fe2SbRu (PBE).

a = 8.234 Å, b = 8.234 Å, c = 8.234 Å
α = 20.88°, β = 20.88°, γ = 20.88°
Last column: magnetic moment on the atom in μB.
Fractional coordinates of all 4 atoms:
Sb 0.750 0.750 0.750  -0.07
Fe 0.506 0.506 0.506  2.40
Fe 0.994 0.994 0.994  2.40
Ru 0.250 0.250 0.250  0.74

Calculated values
The electronic total energy is -0.5196 Ry per atom. The calculation puts the density of states at the Fermi level at 1.065 states/eV/atom. The calculation puts the uncorrected formation energy at 0.512 eV per atom. As for the symmetry: No. 166.



Entry 3:
Entry from Alexandria via LeMat-Bulk: a relaxed structure of Tb6Dy2Er3Tl (PBE).

a = 6.091 Å, b = 6.091 Å, c = 11.629 Å
α = 95.04°, β = 95.04°, γ = 120.07°
Fractional coordinates of all 12 atoms:
Er 0.167 0.833 0.500
Er 0.500 0.500 0.500
Tb 0.247 0.247 0.750
Tl 0.000 0.000 0.000
Tb 0.588 0.917 0.751
Tb 0.917 0.588 0.751
Er 0.833 0.167 0.500
Dy 0.666 0.334 0.000
Dy 0.334 0.666 0.000
Tb 0.412 0.083 0.249
Tb 0.753 0.753 0.250
Tb 0.083 0.412 0.249

Calculated values
As for the energy of formation: -2 kJ/mol of atoms. The electronic total energy is -0.3260 Ry per atom. The calculation puts the density of states at the Fermi level at 1.205 states/eV/atom. As for the symmetry: No. 12.



Entry 4:
Entry from Alexandria via LeMat-Bulk: a relaxed structure of Pm2Nd3ErTe6 (PBE).

a = 4.426 Å, b = 8.979 Å, c = 9.976 Å
α = 102.98°, β = 102.82°, γ = 90.00°
Fractional coordinates of all 12 atoms:
Te 0.666 0.582 0.331
Pm 0.830 0.663 0.661
Nd 0.828 0.165 0.656
Nd 0.172 0.835 0.344
Nd 0.500 0.500 0.000
Te 0.334 0.418 0.669
Te 0.001 0.761 0.001
Te 0.999 0.239 0.999
Te 0.660 0.082 0.321
Er 0.500 0.000 0.000
Te 0.340 0.918 0.679
Pm 0.170 0.337 0.339

Calculated values
The electronic total energy is -0.3910 Ry per atom. The calculation puts the density of states at the Fermi level at 0.556 states/eV/atom. The calculation puts the uncorrected formation energy at -1.385 eV per atom. As for the symmetry: No. 12.



Entry 5:
Entry from Alexandria via LeMat-Bulk: a relaxed structure of Ba2Pt2Br (PBE).

a = 8.620 Å, b = 8.620 Å, c = 4.109 Å
α = 90.00°, β = 90.00°, γ = 90.00°
Last column: magnetic moment on the atom in μB.
Fractional coordinates of all 10 atoms:
Br 0.000 0.000 0.000  0.03
Pt 0.393 0.893 0.000  0.14
Pt 0.893 0.607 0.000  0.14
Ba 0.684 0.816 0.500  0.03
Ba 0.316 0.184 0.500  0.03
Ba 0.816 0.316 0.500  0.03
Pt 0.107 0.393 0.000  0.14
Ba 0.184 0.684 0.500  0.03
Pt 0.607 0.107 0.000  0.14
Br 0.500 0.500 0.000  0.03

Calculated values
The electronic total energy is -0.3200 Ry per atom. The calculation puts the density of states at the Fermi level at 0.549 states/eV/atom. The calculation puts the uncorrected formation energy at -0.834 eV per atom. As for the symmetry: No. 127.



Entry 6:
Entry from Alexandria via LeMat-Bulk: a relaxed structure of LaTm7Hg4 (PBE).

a = 5.658 Å, b = 8.879 Å, c = 7.795 Å
α = 70.09°, β = 68.72°, γ = 71.42°
Fractional coordinates of all 12 atoms:
Tm 0.270 0.680 0.779
Hg 0.689 0.664 0.957
Tm 0.208 0.118 0.466
Tm 0.068 0.592 0.273
Hg 0.547 0.274 0.633
La 0.000 0.000 0.000
Tm 0.792 0.882 0.534
Tm 0.932 0.408 0.727
Hg 0.453 0.726 0.367
Hg 0.311 0.336 0.043
Tm 0.730 0.320 0.221
Tm 0.500 0.000 0.000

Calculated values
As for the energy of formation: -8 kJ/mol of atoms. The electronic total energy is -0.2357 Ry per atom. The calculation puts the density of states at the Fermi level at 1.053 states/eV/atom. As for the symmetry: No. 12.



Entry 7:
Entry from Alexandria via LeMat-Bulk: a relaxed structure of La4Nd8Cd (PBE).

a = 10.713 Å, b = 10.713 Å, c = 10.713 Å
α = 40.59°, β = 40.59°, γ = 40.59°
Fractional coordinates of all 13 atoms:
La 0.000 0.000 0.000
Cd 0.500 0.500 0.500
Nd 0.788 0.788 0.788
Nd 0.254 0.254 0.788
Nd 0.212 0.212 0.212
Nd 0.254 0.788 0.254
Nd 0.746 0.212 0.746
La 0.500 0.000 0.500
La 0.500 0.500 0.000
Nd 0.212 0.746 0.746
La 0.000 0.500 0.500
Nd 0.788 0.254 0.254
Nd 0.746 0.746 0.212

Calculated values
As for the energy of formation: 9 kJ/mol of atoms. The electronic total energy is -0.3251 Ry per atom. The calculation puts the density of states at the Fermi level at 1.503 states/eV/atom. As for the symmetry: No. 166.



Entry 8:
Entry from Alexandria via LeMat-Bulk: a relaxed structure of Li2Cd3Pt4 (PBE).

a = 4.147 Å, b = 5.003 Å, c = 8.240 Å
α = 74.98°, β = 75.43°, γ = 65.51°
Fractional coordinates of all 9 atoms:
Pt 0.996 0.340 0.667
Cd 0.671 0.223 0.435
Pt 0.665 0.566 0.104
Cd 0.329 0.777 0.565
Pt 0.004 0.660 0.333
Li 0.336 0.118 0.210
Li 0.664 0.882 0.790
Pt 0.335 0.434 0.896
Cd 0.000 0.000 0.000

Calculated values
As for the energy of formation: -40 kJ/mol of atoms. The electronic total energy is -0.2813 Ry per atom. The calculation puts the density of states at the Fermi level at 0.386 states/eV/atom. As for the symmetry: No. 12.



Entry 9:
Entry from Alexandria via LeMat-Bulk: a relaxed structure of BaZr3Tl (PBE).

a = 5.558 Å, b = 5.558 Å, c = 5.558 Å
α = 90.00°, β = 90.00°, γ = 90.00°
Last column: magnetic moment on the atom in μB.
Fractional coordinates of all 5 atoms:
Ba 0.500 0.500 0.500  0.10
Tl 0.000 0.000 0.000  0.06
Zr 0.500 0.000 0.000  0.45
Zr 0.000 0.500 0.000  0.41
Zr 0.000 0.000 0.500  0.54

Calculated values
As for the energy of formation: 94 kJ/mol of atoms. The electronic total energy is -0.3686 Ry per atom. The calculation puts the density of states at the Fermi level at 1.648 states/eV/atom. As for the symmetry: No. 221.



Entry 10:
Entry from Alexandria via LeMat-Bulk: a relaxed structure of PrNd4ErSe8 (PBE).

a = 8.657 Å, b = 8.657 Å, c = 8.665 Å
α = 60.03°, β = 60.03°, γ = 60.00°
Fractional coordinates of all 14 atoms:
Se 0.247 0.247 0.260
Nd 0.002 0.494 0.502
Se 0.248 0.248 0.745
Se 0.757 0.226 0.260
Nd 0.625 0.625 0.124
Nd 0.494 0.002 0.502
Se 0.226 0.757 0.260
Nd 0.002 0.002 0.502
Se 0.758 0.248 0.745
Se 0.758 0.758 0.725
Se 0.248 0.758 0.745
Pr 0.002 0.002 0.994
Se 0.757 0.757 0.260
Er 0.375 0.375 0.876

Calculated values
The electronic total energy is -0.4221 Ry per atom. The calculation puts the density of states at the Fermi level at 0.606 states/eV/atom. The calculation puts the uncorrected formation energy at -1.723 eV per atom. As for the symmetry: No. 160.



Entry 11:
Entry from Alexandria via LeMat-Bulk: a relaxed structure of Re4HW2 (PBE).

a = 3.975 Å, b = 3.975 Å, c = 6.976 Å
α = 73.45°, β = 73.45°, γ = 90.00°
Fractional coordinates of all 7 atoms:
Re 0.500 0.000 0.000
Re 0.159 0.159 0.682
Re 0.841 0.841 0.318
H 0.000 0.000 0.000
W 0.356 0.356 0.288
Re 0.000 0.500 0.000
W 0.644 0.644 0.712

Calculated values
The electronic total energy is -0.7930 Ry per atom. The calculation puts the density of states at the Fermi level at 0.437 states/eV/atom. As for the symmetry: No. 139.



Entry 12:
Entry from Alexandria via LeMat-Bulk: a relaxed structure of Zn2TcNi (PBE).

a = 2.807 Å, b = 4.431 Å, c = 4.333 Å
α = 90.00°, β = 90.00°, γ = 90.00°
Last column: magnetic moment on the atom in μB.
Fractional coordinates of all 4 atoms:
Zn 0.000 0.000 0.000  0.00
Ni 0.500 0.000 0.500  0.19
Tc 0.000 0.500 0.500  0.27
Zn 0.500 0.500 0.000  0.00

Calculated values
As for the energy of formation: 11 kJ/mol of atoms. The electronic total energy is -0.3351 Ry per atom. The calculation puts the density of states at the Fermi level at 1.091 states/eV/atom. As for the symmetry: No. 47.